DFT (PBE) results for a relaxed MnCoW2 crystal.

Output
Final energy (eV/cell): -41.33
Total moment (μB per formula unit): 2.65
Energy of formation from the pure elements (eV per atom): 0.212

Structure (POSCAR):
```
MnCoW2
1.0
-1.5282 2.1321 4.2329
1.5282 -2.1321 4.2329
1.5282 2.1321 -4.2329
Mn Co W
1 1 2
Cartesian
0.0000 0.0000 0.0000 Mn
0.0000 2.1321 2.1441 Co
1.5282 0.0000 2.0431 W
0.0000 0.0000 4.2051 W
```

***

DFT (PBE) results for a relaxed Li2LaBi2 crystal.

Output
Final energy (eV/cell): -38.98
Total moment (μB per formula unit): 0.00
Energy of formation from the pure elements (eV per atom): -0.595

Structure (POSCAR):
```
Li2LaBi2
1.0
8.5709 0.0000 0.0000
0.0000 8.5709 0.0000
0.0000 0.0000 3.4444
Li La Bi
4 2 4
Cartesian
0.9577 3.3278 0.0000 Li
3.3278 7.6133 0.0000 Li
5.2431 0.9577 0.0000 Li
7.6133 5.2431 0.0000 Li
0.0000 0.0000 0.0000 La
4.2855 4.2855 0.0000 La
1.5547 5.8401 1.7222 Bi
2.7308 1.5547 1.7222 Bi
5.8401 7.0162 1.7222 Bi
7.0162 2.7308 1.7222 Bi
```

***

DFT (PBE) results for a relaxed SmY3Tl3Te8 crystal.

Output
Final energy (eV/cell): -72.32
Total moment (μB per formula unit): 0.00
E_form (uncorrected) (eV/atom): -1.065

Structure (POSCAR):
```
SmY3Tl3Te8
1.0
7.6539 -4.4115 0.0000
7.6539 4.4115 0.0000
-5.1083 0.0000 8.1587
Sm Y Tl Te
1 3 3 8
Cartesian
0.0000 0.0000 0.0000 Sm
3.8270 2.2058 0.0000 Y
3.8270 -2.2058 0.0000 Y
7.6539 0.0000 0.0000 Y
-2.5542 0.0000 4.0793 Tl
1.2728 2.2058 4.0793 Tl
1.2728 -2.2058 4.0793 Tl
2.6005 0.0000 1.7791 Te
6.3518 2.1618 1.7791 Te
-0.0047 0.0000 6.3955 Te
3.8478 2.1618 6.3795 Te
6.3518 -2.1618 1.7791 Te
10.2043 0.0000 1.7632 Te
3.8478 -2.1618 6.3795 Te
7.5991 0.0000 6.3796 Te
```

***

DFT (PBE) results for a relaxed Ba8P3PtI3 crystal.

Output
Final energy (eV/cell): -60.51
Total moment (μB per formula unit): 0.01
E_form (uncorrected) (eV/atom): -1.214

Structure (POSCAR):
```
Ba8P3PtI3
1.0
4.7452 2.7396 8.3055
-4.7452 2.7396 8.3055
0.0000 -5.4793 8.3055
Ba P Pt I
8 3 1 3
Cartesian
-2.4249 -1.4000 14.1450 Ba
0.0000 0.0000 5.8425 Ba
0.0000 -2.8001 10.7715 Ba
-2.4249 1.4000 10.7715 Ba
2.4249 -1.4000 14.1450 Ba
0.0000 2.8001 14.1450 Ba
0.0000 0.0000 19.0740 Ba
2.4249 1.4000 10.7715 Ba
-4.7452 0.0000 12.4582 P
-2.3726 1.3698 4.1527 P
2.3726 1.3698 4.1527 P
0.0000 0.0000 12.4582 Pt
-2.3726 -1.3698 8.3055 I
-2.3726 1.3698 16.6110 I
0.0000 2.7396 8.3055 I
```

***

no.,calculated volume (Å³/cell)
1,55
2,253
3,551
4,648